[1]
First-principles (PBE) data for Fe2NiSe after structural relaxation, as listed in the Alexandria database.

Lattice parameters (Å, degrees): 4.169 4.169 4.169 60.00 60.00 60.00
Fractional coordinates of all 4 atoms:
Fe  0.000  0.000  0.000
Fe  0.250  0.250  0.250
Ni  0.500  0.500  0.500
Se  0.750  0.750  0.750

N(E_F): 1.274 states/eV/atom
Formation energy (no corrections): 6.1 kcal/mol of atoms
Total magnetization: 1.345 μB/atom
Energy: -6.282 eV per atom


[2]
First-principles (PBE) data for Na2InMo after structural relaxation, as listed in the Alexandria database.

Lattice parameters (Å, degrees): 8.565 8.565 6.700 50.27 50.27 90.00
Fractional coordinates of all 8 atoms:
Na  0.628  0.125  0.250
Na  0.122  0.625  0.250
Na  0.375  0.372  0.750
Na  0.875  0.878  0.750
Mo  0.500  0.500  0.000
Mo  0.250  0.750  0.500
In  0.000  0.000  0.000
In  0.750  0.250  0.500

N(E_F): 0.549 states/eV/atom
Total magnetization: 0.843 μB/atom
Energy: -3.102 eV per atom


[3]
First-principles (PBE) data for SbPt2Cl after structural relaxation, as listed in the Alexandria database.

Lattice parameters (Å, degrees): 3.994 5.193 5.191 55.88 90.00 90.00
Fractional coordinates of all 4 atoms:
Cl  0.500  0.775  0.775
Pt  0.000  0.050  0.051
Pt  0.500  0.242  0.242
Sb  0.000  0.432  0.433

N(E_F): 0.262 states/eV/atom
Formation energy (no corrections): -1.6 kcal/mol of atoms
Total magnetization: 0.000 μB/atom
Energy above the lowest structure with this stoichiometry: 0.101 eV per atom
Energy: -4.584 eV per atom


[4]
First-principles (PBE) data for SmZn6Ag4 after structural relaxation, as listed in the Alexandria database.

Lattice parameters (Å, degrees): 4.247 7.418 7.418 120.00 90.00 90.00
Fractional coordinates of all 11 atoms:
Sm  0.000  0.000  0.000
Zn  0.000  0.539  0.078
Zn  0.500  0.588  0.794
Zn  0.000  0.539  0.461
Zn  0.000  0.922  0.461
Zn  0.500  0.206  0.794
Zn  0.500  0.206  0.412
Ag  0.500  0.801  0.603
Ag  0.500  0.397  0.199
Ag  0.500  0.801  0.199
Ag  0.000  0.333  0.667

N(E_F): 0.342 states/eV/atom
Total magnetization: 0.000 μB/atom
Energy: -2.261 eV per atom


[5]
First-principles (PBE) data for MgMnPb2 after structural relaxation, as listed in the Alexandria database.

Lattice parameters (Å, degrees): 5.991 5.991 5.991 137.91 137.91 61.04
Fractional coordinates of all 4 atoms:
Mg  0.500  0.500  0.000
Mn  0.750  0.250  0.500
Pb  0.000  0.000  0.000
Pb  0.250  0.750  0.500

N(E_F): 0.529 states/eV/atom
Total magnetization: 0.976 μB/atom
Energy: -4.309 eV per atom


[6]
First-principles (PBE) data for CdAsN3 after structural relaxation, as listed in the Alexandria database.

Lattice parameters (Å, degrees): 3.815 3.815 3.815 90.00 90.00 90.00
Fractional coordinates of all 5 atoms:
As  0.000  0.000  0.000
N  0.000  0.500  0.000
N  0.000  0.000  0.500
N  0.500  0.000  0.000
Cd  0.500  0.500  0.500

N(E_F): 0.630 states/eV/atom
Formation energy (no corrections): 33.4 kcal/mol of atoms
Total magnetization: 0.000 μB/atom
Energy: -4.659 eV per atom